# 1
Here is an optimized crystal structure of Cs8Na2Au from the Alexandria database. Energies are from PBE.

POSCAR file:
```
Cs8Na2Au
1.0
12.8412 -3.7311 0.0000
12.8412 3.7311 0.0000
-3.1136 0.0000 9.0629
Cs Na Au
8 2 1
direct
0.0148 0.0148 0.2886
0.2143 0.2143 0.7828
0.3629 0.3629 0.5498
0.4110 0.4110 0.1015
0.5890 0.5890 0.8985
0.6371 0.6371 0.4502
0.7857 0.7857 0.2172
0.9852 0.9852 0.7114
0.1771 0.1771 0.2108
0.8229 0.8229 0.7892
0.5000 0.5000 0.5000
```

formation enthalpy at 0 K = -39 meV/atom
theoretical density = 2498 kg/m³

---

# 2
Here is an optimized crystal structure of Ba4PCl5 from the Alexandria database. Energies are from PBE.

POSCAR file:
```
Ba4PCl5
1.0
9.3333 -2.4008 0.0000
9.3333 2.4008 0.0000
-1.9697 0.0000 7.8962
Ba P Cl
4 1 5
direct
0.0626 0.0626 0.3063
0.3492 0.3492 0.2067
0.6508 0.6508 0.7933
0.9374 0.9374 0.6937
0.5000 0.5000 0.5000
0.1683 0.1683 0.0518
0.1964 0.1964 0.6052
0.5000 0.5000 0.0000
0.8036 0.8036 0.3948
0.8317 0.8317 0.9482
```

formation energy (no corrections) = -2.1491 eV/atom
theoretical density = 3555 kg/m³

---

# 3
Here is an optimized crystal structure of Ho7ZrSc12 from the Alexandria database. Energies are from PBE.

POSCAR file:
```
Ho7ZrSc12
1.0
5.7781 3.3360 4.7806
-5.7781 3.3360 4.7806
0.0000 -6.6720 4.7806
Ho Zr Sc
7 1 12
direct
0.0000 0.0000 0.0000
0.1195 0.4558 0.3420
0.3420 0.1195 0.4558
0.4558 0.3420 0.1195
0.5442 0.6580 0.8805
0.6580 0.8805 0.5442
0.8805 0.5442 0.6580
0.5000 0.5000 0.5000
0.0038 0.8810 0.3569
0.1190 0.6431 0.9962
0.2197 0.7599 0.6363
0.2401 0.3637 0.7803
0.3569 0.0038 0.8810
0.3637 0.7803 0.2401
0.6363 0.2197 0.7599
0.6431 0.9962 0.1190
0.7599 0.6363 0.2197
0.7803 0.2401 0.3637
0.8810 0.3569 0.0038
0.9962 0.1190 0.6431
```

formation enthalpy at 0 K = 242 meV/atom
theoretical density = 5362 kg/m³

---

# 4
Here is an optimized crystal structure of ZrCrPt2 from the Alexandria database. Energies are from PBE.

POSCAR file:
```
ZrCrPt2
1.0
-2.0650 2.0650 3.9218
2.0650 -2.0650 3.9218
2.0650 2.0650 -3.9218
Zr Cr Pt
1 1 2
direct
0.0000 0.0000 0.0000
0.5000 0.5000 0.0000
0.2500 0.7500 0.5000
0.7500 0.2500 0.5000
```

formation enthalpy at 0 K = -624 meV/atom
theoretical density = 13241 kg/m³

---

# 5
Here is an optimized crystal structure of MnNiAu from the Alexandria database. Energies are from PBE.

POSCAR file:
```
MnNiAu
1.0
0.0000 2.9252 2.9252
2.9252 0.0000 2.9252
2.9252 2.9252 0.0000
Mn Ni Au
1 1 1
direct
0.0000 0.0000 0.0000
0.7500 0.7500 0.7500
0.5000 0.5000 0.5000
```

formation enthalpy at 0 K = 233 meV/atom
theoretical density = 10303 kg/m³

---

# 6
Here is an optimized crystal structure of LiTb4Y5 from the Alexandria database. Energies are from PBE.

POSCAR file:
```
LiTb4Y5
1.0
3.5859 0.0000 0.0000
0.0000 3.5859 0.0000
0.0000 0.0000 24.0253
Li Tb Y
1 4 5
direct
0.0000 0.0000 0.0000
0.0000 0.0000 0.1855
0.0000 0.0000 0.3951
0.0000 0.0000 0.6049
0.0000 0.0000 0.8145
0.5000 0.5000 0.0824
0.5000 0.5000 0.2904
0.5000 0.5000 0.5000
0.5000 0.5000 0.7096
0.5000 0.5000 0.9176
```

formation enthalpy at 0 K = 38 meV/atom
theoretical density = 5844 kg/m³

---

# 7
Here is an optimized crystal structure of CsAcErSe3 from the Alexandria database. Energies are from PBE.

POSCAR file:
```
CsAcErSe3
1.0
9.8853 0.0000 0.0000
0.0000 4.7874 0.0000
-3.2805 0.0000 10.5363
Cs Ac Er Se
2 2 2 6
direct
0.2052 0.2500 0.2156
0.7948 0.7500 0.7844
0.3355 0.7500 0.8607
0.6645 0.2500 0.1393
0.0893 0.2500 0.6068
0.9107 0.7500 0.3932
0.1187 0.2500 0.8585
0.1930 0.7500 0.5508
0.4647 0.7500 0.1511
0.5353 0.2500 0.8489
0.8070 0.2500 0.4492
0.8813 0.7500 0.1415
```

formation energy (no corrections) = -1.5926 eV/atom
theoretical density = 5089 kg/m³

---

# 8
Here is an optimized crystal structure of CaSm12Co6 from the Alexandria database. Energies are from PBE.

POSCAR file:
```
CaSm12Co6
1.0
-5.0164 5.0164 5.0164
5.0164 -5.0164 5.0164
5.0164 5.0164 -5.0164
Ca Sm Co
1 12 6
direct
0.0000 0.0000 0.0000
0.1162 0.3128 0.8034
0.1966 0.5094 0.3128
0.1966 0.8838 0.6872
0.3128 0.1966 0.5094
0.3128 0.8034 0.1162
0.4906 0.6872 0.8034
0.5094 0.3128 0.1966
0.6872 0.1966 0.8838
0.6872 0.8034 0.4906
0.8034 0.1162 0.3128
0.8034 0.4906 0.6872
0.8838 0.6872 0.1966
0.1107 0.5000 0.6107
0.3893 0.8893 0.5000
0.5000 0.3893 0.8893
0.5000 0.6107 0.1107
0.6107 0.1107 0.5000
0.8893 0.5000 0.3893
```

formation enthalpy at 0 K = -83 meV/atom
theoretical density = 7228 kg/m³